Record 1
BeAgBr2 PBE relaxed; relative energy among the computed polymorphs = 0.11 eV/f.u.; uncorrected formation energy = -0.27 eV/atom
1.0
11.026 0.003 0.002
10.509 3.338 0.002
10.509 1.630 2.912
Be Br Ag
1 2 1
direct
0.750 0.750 0.750
0.041 0.041 0.041
0.459 0.459 0.459
0.250 0.250 0.250

***

Record 2
TlCo2H2 PBE relaxed; uncorrected energy = -4.390 eV/atom
1.0
-0.554 3.091 0.144
-0.869 -0.015 -3.021
-5.617 0.592 -0.022
H Tl Co
2 1 2
direct
0.750 0.250 0.500
0.250 0.750 0.500
0.000 0.000 0.000
0.316 0.316 0.369
0.684 0.684 0.631

***

Record 3
Nd2Sb4Ir3 PBE relaxed; uncorrected formation energy = -0.70 eV/atom
1.0
4.586 0.000 0.000
0.000 11.080 0.000
0.000 0.000 16.307
Nd Sb Ir
8 16 12
direct
0.250 0.748 0.506
0.250 0.752 0.006
0.750 0.252 0.494
0.750 0.248 0.994
0.250 0.589 0.752
0.250 0.911 0.252
0.750 0.411 0.248
0.750 0.089 0.748
0.250 0.275 0.650
0.250 0.225 0.150
0.750 0.725 0.350
0.750 0.775 0.850
0.250 0.886 0.711
0.250 0.614 0.211
0.750 0.114 0.289
0.750 0.386 0.789
0.250 0.062 0.894
0.250 0.438 0.394
0.750 0.938 0.106
0.750 0.562 0.606
0.250 0.447 0.932
0.250 0.053 0.432
0.750 0.553 0.068
0.750 0.947 0.568
0.250 0.466 0.556
0.250 0.034 0.056
0.750 0.534 0.444
0.750 0.966 0.944
0.250 0.056 0.593
0.250 0.444 0.093
0.750 0.944 0.407
0.750 0.556 0.907
0.250 0.276 0.819
0.250 0.224 0.319
0.750 0.724 0.181
0.750 0.776 0.681

***

Record 4
SiSeCl2 PBE relaxed; relative energy among the computed polymorphs = 1.69 eV/f.u.; uncorrected formation energy = 0.12 eV/atom
1.0
11.129 0.044 0.026
10.583 3.442 0.026
10.583 1.700 2.994
Cl Se Si
2 1 1
direct
0.034 0.034 0.034
0.466 0.466 0.466
0.250 0.250 0.250
0.750 0.750 0.750

***

Record 5
Er3Th2Tl4 PBE relaxed; calculated formation energy = -0.13 eV/atom
1.0
-1.233 -3.900 -5.650
8.064 -3.633 0.747
-2.619 -4.213 7.785
Er Th Tl
6 4 8
direct
0.000 0.000 0.000
0.500 0.500 0.000
0.532 0.750 0.565
0.968 0.250 0.435
0.468 0.250 0.435
0.032 0.750 0.565
0.108 0.583 0.215
0.892 0.417 0.785
0.392 0.083 0.785
0.608 0.917 0.215
0.709 0.750 0.917
0.791 0.250 0.083
0.291 0.250 0.083
0.209 0.750 0.917
0.179 0.950 0.358
0.821 0.050 0.642
0.321 0.450 0.642
0.679 0.550 0.358

***

Record 6
KGeBi2F PBE relaxed; uncorrected formation energy = -0.31 eV/atom
1.0
5.169 0.000 0.000
0.000 5.055 0.000
0.000 0.000 5.169
K Ge Bi F
1 1 2 1
direct
0.500 0.500 0.500
0.000 0.500 0.000
0.000 0.000 0.500
0.500 0.000 0.000
0.000 0.000 0.000

***

Record 7
NaHoCdIn PBE relaxed; calculated formation energy = -0.22 eV/atom
1.0
-4.953 -1.598 0.572
-1.065 -4.254 2.861
-2.390 0.491 4.632
Na Cd Ho In
1 1 1 1
direct
0.000 0.000 0.000
0.750 0.750 0.750
0.500 0.500 0.500
0.250 0.250 0.250

***

Record 8
TbNp2Te2Se2 PBE relaxed; uncorrected formation energy = -0.81 eV/atom
1.0
5.350 0.000 0.000
0.000 5.350 0.000
-2.675 -2.675 7.795
Tb Np Te Se
1 2 2 2
direct
0.000 0.000 0.000
0.387 0.387 0.774
0.613 0.613 0.226
0.191 0.191 0.382
0.809 0.809 0.618
0.000 0.500 0.000
0.500 0.000 0.000

***

Record 9
ZnInPtO4 PBE relaxed; uncorrected formation energy = -0.98 eV/atom
1.0
-5.654 0.888 2.927
0.778 -4.731 -4.121
2.929 -0.141 5.701
Zn In Pt O
2 2 2 8
direct
0.881 0.762 0.131
0.119 0.238 0.869
0.500 0.000 0.500
0.500 0.000 0.000
0.500 0.500 0.500
0.000 0.500 0.500
0.751 0.501 0.728
0.276 0.025 0.262
0.749 0.025 0.262
0.751 0.501 0.273
0.249 0.499 0.727
0.724 0.975 0.738
0.251 0.975 0.738
0.249 0.499 0.272

***

Record 10
Fe2SiAs PBE relaxed; uncorrected formation energy = -0.06 eV/atom
1.0
0.364 -3.256 -2.364
-2.856 -2.857 0.044
-2.440 -0.466 -3.186
As Si Fe
1 1 2
direct
0.500 0.500 0.500
0.000 0.000 0.000
0.250 0.250 0.250
0.750 0.750 0.750

***

Record 11
ThMnTe PBE relaxed; uncorrected formation energy = -0.37 eV/atom
1.0
4.036 0.000 0.000
2.018 3.446 0.561
2.018 1.622 12.004
Th Mn Te
2 2 2
direct
0.999 0.684 0.319
0.001 0.316 0.681
0.667 0.180 0.487
0.333 0.820 0.513
0.331 0.200 0.139
0.669 0.800 0.861

***

Record 12
BaSr3S PBE relaxed; relative energy among the computed polymorphs = 0.00 eV/f.u.; uncorrected formation energy = -0.70 eV/atom
1.0
-5.510 2.160 1.613
-2.667 -3.826 -3.985
-0.397 -4.281 4.376
Sr S Ba
3 1 1
direct
0.000 0.500 0.000
0.000 0.000 0.500
0.500 0.000 0.000
0.000 0.000 0.000
0.500 0.500 0.500